[1]
The following is a DFT calculation (PBE) of a geometry-optimized ZrAg2HPb structure. Values from VASP.

Properties
- final energy (eV per atom) = -4.30

Structure (Quantum ESPRESSO input):
```
&SYSTEM
  ibrav = 0, nat = 5, ntyp = 4
/
ATOMIC_SPECIES
Zr 91.22 Zr.upf
Ag 107.87 Ag.upf
H 1.01 H.upf
Pb 207.20 Pb.upf
CELL_PARAMETERS angstrom
4.3868 0.0000 0.0000
0.0000 4.3868 0.0000
0.0000 0.0000 4.4560
ATOMIC_POSITIONS angstrom
Zr 0.0000 0.0000 0.0000
Ag 0.0000 2.1934 2.2280
Ag 2.1934 0.0000 2.2280
H 0.0000 0.0000 2.2280
Pb 2.1934 2.1934 0.0000
```


[2]
The following is a DFT calculation (PBE) of a geometry-optimized AcAl3Pt2 structure. Values from VASP.

Properties
- formation energy from the elements (eV/f.u.) = -5.79
- final energy (eV per atom) = -5.53

Structure (Quantum ESPRESSO input):
```
&SYSTEM
  ibrav = 0, nat = 12, ntyp = 3
/
ATOMIC_SPECIES
Ac 227.00 Ac.upf
Al 26.98 Al.upf
Pt 195.08 Pt.upf
CELL_PARAMETERS angstrom
7.6707 -2.1401 0.0000
7.6707 2.1401 0.0000
-3.2173 0.0000 7.5404
ATOMIC_POSITIONS angstrom
Ac 2.0346 0.0000 0.6226
Ac 10.0895 0.0000 6.9178
Al -0.7909 0.0000 2.6458
Al 3.1265 0.0000 4.2016
Al 5.0254 0.0000 2.1646
Al 7.0987 0.0000 5.3758
Al 8.9976 0.0000 3.3388
Al 12.9150 0.0000 4.8946
Pt 0.6026 0.0000 4.7592
Pt 4.7840 0.0000 6.1914
Pt 7.3401 0.0000 1.3489
Pt 11.5215 0.0000 2.7812
```


[3]
The following is a DFT calculation (PBE) of a geometry-optimized TlBi2Pd2 structure. Values from VASP.

Properties
- formation energy from the elements (eV/f.u.) = -0.64
- final energy (eV per atom) = -4.23

Structure (Quantum ESPRESSO input):
```
&SYSTEM
  ibrav = 0, nat = 5, ntyp = 3
/
ATOMIC_SPECIES
Tl 204.38 Tl.upf
Bi 208.98 Bi.upf
Pd 106.42 Pd.upf
CELL_PARAMETERS angstrom
-2.3662 2.3662 6.0461
2.3662 -2.3662 6.0461
2.3662 2.3662 -6.0461
ATOMIC_POSITIONS angstrom
Tl 0.0000 0.0000 0.0000
Bi 0.0000 0.0000 4.4145
Bi 0.0000 0.0000 7.6778
Pd 2.3662 0.0000 3.0231
Pd 0.0000 2.3662 3.0231
```


[4]
The following is a DFT calculation (PBE) of a geometry-optimized Sr3La12Sm5 structure. Values from VASP.

Properties
- formation energy from the elements (eV/f.u.) = 16.15
- final energy (eV per atom) = -3.58

Structure (Quantum ESPRESSO input):
```
&SYSTEM
  ibrav = 0, nat = 80, ntyp = 3
/
ATOMIC_SPECIES
Sr 87.62 Sr.upf
La 138.91 La.upf
Sm 150.36 Sm.upf
CELL_PARAMETERS angstrom
-9.6930 9.6930 9.6930
9.6930 -9.6930 9.6930
9.6930 9.6930 -9.6930
ATOMIC_POSITIONS angstrom
Sr 4.8465 2.4232 0.0000
Sr 9.6930 4.8465 -2.4232
Sr 2.4232 0.0000 4.8465
Sr 12.1162 0.0000 4.8465
Sr 0.0000 4.8465 2.4232
Sr 4.8465 -2.4232 9.6930
Sr 4.8465 12.1162 0.0000
Sr 9.6930 4.8465 7.2697
Sr -2.4232 9.6930 4.8465
Sr 7.2697 9.6930 4.8465
Sr 0.0000 4.8465 12.1162
Sr 4.8465 7.2697 9.6930
La 7.2658 -6.0700 6.1736
La 16.9666 1.3272 -1.2235
La 13.3159 3.5193 -2.4272
La 10.9165 -7.2736 8.3658
La 6.1736 7.2658 -6.0700
La 8.3658 -1.2235 2.4193
La 12.1123 1.3272 1.2235
La 12.1201 -3.6230 6.1736
La 8.3658 10.9165 -7.2736
La 6.1736 -2.4272 6.0700
La 6.0700 6.1736 -2.4272
La 8.4694 2.4193 1.3272
La 8.4694 -2.4193 8.3658
La 15.7630 3.5193 2.4272
La 8.3658 8.4694 -2.4193
La 6.1736 2.4272 3.6230
La 2.4193 8.3658 -1.2235
La 12.1201 3.6230 3.5193
La 6.1736 12.1201 -3.6230
La 8.3658 1.2235 7.2736
La 3.6230 6.1736 2.4272
La 10.9165 7.2736 1.3272
La 7.2736 8.3658 1.2235
La 7.2658 6.0700 3.5193
La 2.4272 3.6230 6.1736
La 2.4193 1.3272 8.4694
La -1.2235 2.4193 8.3658
La 6.0700 3.5193 7.2658
La 1.3272 8.4694 2.4193
La 3.5193 -2.4272 13.3159
La -2.4272 6.0700 6.1736
La 7.2736 1.3272 10.9165
La 3.5193 7.2658 6.0700
La 1.3272 1.2235 12.1123
La -6.0700 6.1736 7.2658
La 1.2235 12.1123 1.3272
La 1.2235 7.2736 8.3658
La 3.6230 3.5193 12.1201
La 3.5193 12.1201 3.6230
La 1.3272 -1.2235 16.9666
La -2.4272 13.3159 3.5193
La -2.4193 8.3658 8.4694
La 1.3272 10.9165 7.2736
La 3.5193 2.4272 15.7630
La -1.2235 16.9666 1.3272
La -3.6230 6.1736 12.1201
La -7.2736 8.3658 10.9165
La 2.4272 15.7630 3.5193
Sm 0.0000 0.0000 0.0000
Sm 4.8465 4.8465 -4.8465
Sm 4.8465 -4.8465 4.8465
Sm 9.6930 0.0000 0.0000
Sm 14.5394 2.4232 0.0000
Sm 9.6930 -4.8465 7.2697
Sm 7.2697 9.6930 -4.8465
Sm 7.2697 0.0000 4.8465
Sm 4.8465 7.2697 0.0000
Sm 9.6930 4.8465 2.4232
Sm -4.8465 4.8465 4.8465
Sm 0.0000 9.6930 0.0000
Sm 0.0000 0.0000 9.6930
Sm 4.8465 4.8465 4.8465
Sm 0.0000 4.8465 7.2697
Sm 4.8465 2.4232 9.6930
Sm 2.4232 9.6930 4.8465
Sm 2.4232 0.0000 14.5394
Sm 0.0000 14.5394 2.4232
Sm -4.8465 7.2697 9.6930
```